Entry 1:
# Al2NiMo GGA-PBE optimized geometry
# total moment: 6.26 μB per cell
# theoretical density: 6098 kg/m3
# offset from the most stable computed form: 0.342 eV per atom
# formation energy from the elements: -0.019 eV per atom
data_Al2NiMo
_space_group_name_H-M_alt 'F -4 3 m'
_space_group_IT_number 216
_space_group_name_Hall 'F -4 2 3'
_cell_length_a 6.102
_cell_length_b 6.102
_cell_length_c 6.102
_cell_angle_alpha 90.00
_cell_angle_beta 90.00
_cell_angle_gamma 90.00
loop_
_atom_site_label
_atom_site_type_symbol
_atom_site_fract_x
_atom_site_fract_y
_atom_site_fract_z
Al1 Al 0.000 0.000 0.000
Al2 Al 0.250 0.250 0.250
Ni1 Ni 0.000 0.000 0.500
Mo1 Mo 0.250 0.250 0.750

Entry 2:
# La6GePb2N GGA-PBE optimized geometry
# total moment: 0.00 μB per cell
# formation energy without anion corrections: -0.611 eV per atom
# theoretical density: 6855 kg/m3
data_La6GePb2N
_space_group_name_H-M_alt 'P 4/m m m'
_space_group_IT_number 123
_space_group_name_Hall '-P 4 2'
_cell_length_a 5.491
_cell_length_b 5.491
_cell_length_c 10.720
_cell_angle_alpha 90.00
_cell_angle_beta 90.00
_cell_angle_gamma 90.00
loop_
_atom_site_label
_atom_site_type_symbol
_atom_site_fract_x
_atom_site_fract_y
_atom_site_fract_z
La1 La 0.000 0.000 0.225
La2 La 0.000 0.500 0.000
La3 La 0.000 0.500 0.500
Ge1 Ge 0.000 0.000 0.500
Pb1 Pb 0.500 0.500 0.242
N1 N 0.000 0.000 0.000

Entry 3:
# Pr3Er4Cd GGA-PBE optimized geometry
# total moment: 0.00 μB per cell
# theoretical density: 7956 kg/m3
# offset from the most stable computed form: 0.000 eV per atom
# formation energy from the elements: -0.065 eV per atom
data_Pr3Er4Cd
_space_group_name_H-M_alt 'P 4/m m m'
_space_group_IT_number 123
_space_group_name_Hall '-P 4 2'
_cell_length_a 3.620
_cell_length_b 3.620
_cell_length_c 19.176
_cell_angle_alpha 90.00
_cell_angle_beta 90.00
_cell_angle_gamma 90.00
loop_
_atom_site_label
_atom_site_type_symbol
_atom_site_fract_x
_atom_site_fract_y
_atom_site_fract_z
Pr1 Pr 0.000 0.000 0.000
Pr2 Pr 0.000 0.000 0.265
Er1 Er 0.500 0.500 0.132
Er2 Er 0.500 0.500 0.396
Cd1 Cd 0.000 0.000 0.500

Entry 4:
# Pu2CuNi3Sb4 GGA-PBE optimized geometry
# total moment: 10.80 μB per cell
# formation energy without anion corrections: -0.393 eV per atom
# theoretical density: 10070 kg/m3
data_Pu2CuNi3Sb4
_space_group_name_H-M_alt 'P -4 m 2'
_space_group_IT_number 115
_space_group_name_Hall 'P -4 -2'
_cell_length_a 4.490
_cell_length_b 4.490
_cell_length_c 9.936
_cell_angle_alpha 90.00
_cell_angle_beta 90.00
_cell_angle_gamma 90.00
loop_
_atom_site_label
_atom_site_type_symbol
_atom_site_fract_x
_atom_site_fract_y
_atom_site_fract_z
Pu1 Pu 0.000 0.500 0.245
Cu1 Cu 0.500 0.500 0.000
Ni1 Ni 0.000 0.000 0.000
Ni2 Ni 0.000 0.500 0.619
Sb1 Sb 0.000 0.000 0.500
Sb2 Sb 0.000 0.500 0.866
Sb3 Sb 0.500 0.500 0.500

Entry 5:
# NdThPtAu GGA-PBE optimized geometry
# total moment: 0.00 μB per cell
# theoretical density: 12945 kg/m3
# offset from the most stable computed form: 0.155 eV per atom
# formation energy from the elements: -0.827 eV per atom
data_NdThPtAu
_space_group_name_H-M_alt 'F -4 3 m'
_space_group_IT_number 216
_space_group_name_Hall 'F -4 2 3'
_cell_length_a 7.332
_cell_length_b 7.332
_cell_length_c 7.332
_cell_angle_alpha 90.00
_cell_angle_beta 90.00
_cell_angle_gamma 90.00
loop_
_atom_site_label
_atom_site_type_symbol
_atom_site_fract_x
_atom_site_fract_y
_atom_site_fract_z
Nd1 Nd 0.000 0.000 0.000
Th1 Th 0.000 0.000 0.500
Pt1 Pt 0.250 0.250 0.750
Au1 Au 0.250 0.250 0.250

Entry 6:
# EuAgSnGe GGA-PBE optimized geometry
# total moment: 28.04 μB per cell
# theoretical density: 7839 kg/m3
# formation energy from the elements: -0.243 eV per atom
data_EuAgSnGe
_space_group_name_H-M_alt 'F -4 3 m'
_space_group_IT_number 216
_space_group_name_Hall 'F -4 2 3'
_cell_length_a 7.258
_cell_length_b 7.258
_cell_length_c 7.258
_cell_angle_alpha 90.00
_cell_angle_beta 90.00
_cell_angle_gamma 90.00
loop_
_atom_site_label
_atom_site_type_symbol
_atom_site_fract_x
_atom_site_fract_y
_atom_site_fract_z
Eu1 Eu 0.000 0.000 0.000
Ag1 Ag 0.250 0.250 0.750
Sn1 Sn 0.000 0.000 0.500
Ge1 Ge 0.250 0.250 0.250

Q: total moment of number 2 (La6GePb2N)?
A: 0.00 μB per cell